# 1
A geometry-optimized PbWSe2 structure, computed with PBE-GGA.

Cell: 3.2216 3.2452 18.0285 Å, 90.00 90.00 90.00°
Space group Imm2 (No. 44)
Unique sites:
Pb: 0.0000 0.0000 0.0000 (multiplicity 2)
W: 0.0000 0.5000 0.2574 (multiplicity 2)
Se: 0.0000 0.0000 0.6536 (multiplicity 2)
Se: 0.0000 0.5000 0.8323 (multiplicity 2)

**Mass density**: 9.7 g/cm3
**Calculated volume**: 23.560 Å³/atom
**Raw total energy**: -5.890 eV per atom
**DOS(E_F)**: 6.1 states/eV/cell
**Formation energy without anion corrections**: 0.02 eV/atom

# 2
A geometry-optimized PbW4Se8 structure, computed with PBE-GGA.

Cell: 6.6499 6.6499 25.2470 Å, 90.00 90.00 120.00°
Space group R-3m (No. 166, hexagonal axes)
Unique sites:
Pb: 0.0000 0.0000 0.0000 (multiplicity 3)
W: 0.0000 0.0000 0.5000 (multiplicity 3)
W: 0.0000 0.5000 0.5000 (multiplicity 9)
Se: 0.0000 0.0000 0.2345 (multiplicity 6)
Se: 0.0009 0.5005 0.7652 (multiplicity 18)

**Mass density**: 8.1 g/cm3
**Calculated volume**: 24.792 Å³/atom
**Raw total energy**: -6.612 eV per atom
**DOS(E_F)**: 30.7 states/eV/cell
**Formation energy without anion corrections**: -0.20 eV/atom

# 3
A geometry-optimized PbWSe3 structure, computed with PBE-GGA.

Cell: 5.0046 5.0046 5.0046 Å, 90.00 90.00 90.00°
Space group Pm-3m (No. 221)
Unique sites:
Pb: 0.0000 0.0000 0.0000 (multiplicity 1)
W: 0.5000 0.5000 0.5000 (multiplicity 1)
Se: 0.0000 0.5000 0.5000 (multiplicity 3)

**Mass density**: 8.3 g/cm3
**Calculated volume**: 25.069 Å³/atom
**Raw total energy**: -5.340 eV per atom
**DOS(E_F)**: 3.4 states/eV/cell
**Formation energy without anion corrections**: 0.08 eV/atom